Pm2DyErSc4: optimized geometry, GGA-PBE.

As for the volume: 226 Å³ per cell. As for the calculated total energy: -43.496 eV for the cell shown. The density is 5.89 Mg/m³. The total moment is 0.0 μB per formula unit.

It has space group P2/m (No. 10), with a = 5.955 Å, b = 3.442 Å, c = 11.178 Å, α = 90.00°, β = 100.16° and γ = 90.00°. Symmetry generates all atoms from Pm at (0.000, 0.000, 0.000), Pm at (0.000, 0.500, 0.500), Dy at (0.500, 0.000, 0.500), Er at (0.500, 0.500, 0.000), Sc at (0.251, 0.000, 0.750) and Sc at (0.252, 0.500, 0.250).


AlAsNF2: optimized geometry, GGA-PBE.

As for the volume: 56 Å³ per cell. The density is 4.55 Mg/m³. The polymorph energy (0 for the lowest one) comes out at 0.00 eV per formula unit. The total moment is 1.0 μB per formula unit.

It has space group P4/mmm (No. 123), with a = 3.606 Å, b = 3.606 Å, c = 4.323 Å, α = 90.00°, β = 90.00° and γ = 90.00°. Symmetry generates all atoms from Al at (0.000, 0.000, 0.000), As at (0.500, 0.500, 0.500), N at (0.000, 0.000, 0.500) and F at (0.000, 0.500, 0.000).


Ta2SbAu: optimized geometry, GGA-PBE.

As for the volume: 75 Å³ per cell. As for the calculated total energy: -30.459 eV for the cell shown. The density is 14.98 Mg/m³. The total moment is 0.0 μB per formula unit.

It has space group P4/mmm (No. 123), with a = 4.108 Å, b = 4.108 Å, c = 4.471 Å, α = 90.00°, β = 90.00° and γ = 90.00°. Symmetry generates all atoms from Ta at (0.000, 0.500, 0.000), Sb at (0.000, 0.000, 0.500) and Au at (0.500, 0.500, 0.500).


Tl2SiBr: optimized geometry, GGA-PBE.

As for the volume: 329 Å³ per cell. The density is 7.83 Mg/m³. The polymorph energy (0 for the lowest one) comes out at 0.59 eV per formula unit. The total moment is 0.0 μB per formula unit.

It has space group R3m (No. 160, hexagonal axes), with a = 3.6188 Å, b = 3.6188 Å, c = 29.0068 Å, α = 90.00°, β = 90.00° and γ = 120.00°. Symmetry generates all atoms from Tl at (0.0000, 0.0000, 0.0000), Tl at (0.0000, 0.0000, 0.2362), Si at (0.0000, 0.0000, 0.7404) and Br at (0.0000, 0.0000, 0.4724).


Na2PrNdTe4: optimized geometry, GGA-PBE.

As for the volume: 273 Å³ per cell. As for the calculated total energy: -35.386 eV for the cell shown. The density is 5.11 Mg/m³. The total moment is 0.0 μB per formula unit.

It has space group P2/m (No. 10), with a = 7.904 Å, b = 4.565 Å, c = 8.022 Å, α = 90.00°, β = 109.18° and γ = 90.00°. Symmetry generates all atoms from Na at (0.000, 0.000, 0.000), Na at (0.500, 0.500, 0.000), Pr at (0.000, 0.500, 0.500), Nd at (0.500, 0.000, 0.500), Te at (0.248, 0.000, 0.740) and Te at (0.255, 0.500, 0.260).


Ti2Zn2Rh3: optimized geometry, GGA-PBE.

As for the volume: 208 Å³ per cell. As for the calculated total energy: -89.637 eV for the cell shown. The density is 8.57 Mg/m³. The total moment is 0.0 μB per formula unit.

It has space group C2/m (No. 12), with a = 7.425 Å, b = 4.389 Å, c = 7.090 Å, α = 90.00°, β = 116.09° and γ = 90.00°. Symmetry generates all atoms from Ti at (0.232, 0.000, 0.155), Zn at (0.165, 0.500, 0.412), Rh at (0.000, 0.500, 0.000) and Rh at (0.058, 0.000, 0.744).